Compound: Co4HgAu
Source: Alexandria via LeMat-Bulk
Functional: PBE
Structure: optimized geometry

Properties
- volume (Å³/cell) = 332.7
- total energy (eV per cell) = -120.7
- energy of formation (eV/f.u.) = 1.8
- total moment (Bohr magnetons per cell) = 27.755

Cell and atoms, written as CIF:
```
data_Co4HgAu
_cell_length_a 6.9294
_cell_length_b 6.9294
_cell_length_c 6.9294
_cell_angle_alpha 90.00
_cell_angle_beta 90.00
_cell_angle_gamma 90.00
_symmetry_space_group_name_H-M 'F -4 3 m'
_symmetry_Int_Tables_number 216
_symmetry_space_group_name_Hall 'F -4 2 3'
loop_
_atom_site_label
_atom_site_fract_x
_atom_site_fract_y
_atom_site_fract_z
Co1 0.1253 0.1253 0.1253
Hg1 0.2500 0.2500 0.7500
Au1 0.0000 0.0000 0.5000
```